[1]
A plane-wave DFT calculation with PBE was carried out for TbThGe2 after structural relaxation.

Cell and atoms, written as extended XYZ:
```
4
Lattice="4.170 0.000 0.000 0.000 2.153 5.498 0.000 -2.153 5.498" Properties=species:S:1:pos:R:3 pbc="T T T"
Tb 0.000 0.000 0.000
Th 2.085 0.000 7.976
Ge 0.000 0.000 3.026
Ge 2.085 0.000 4.952
```

Summary:
* total magnetic moment: 0.00 Bohr magnetons per cell
* E_form: -0.78 eV/atom
* ρ: 9.0 g cm⁻³
* space-group type: Amm2, No. 38
* raw total energy: -6.10 eV/atom

[2]
A plane-wave DFT calculation with PBE was carried out for PrThPtAu after structural relaxation.

Cell and atoms, written as extended XYZ:
```
4
Lattice="4.500 0.000 0.000 0.000 1.968 5.846 0.000 -1.968 5.846" Properties=species:S:1:pos:R:3 pbc="T T T"
Pr 0.000 0.000 0.000
Th 2.250 0.000 3.197
Pt 0.000 0.000 8.668
Au 2.250 0.000 6.546
```

Summary:
* total magnetic moment: 0.00 Bohr magnetons per cell
* E_form: -0.97 eV/atom
* ρ: 12.3 g cm⁻³
* space-group type: Amm2, No. 38
* raw total energy: -6.35 eV/atom

[3]
A plane-wave DFT calculation with PBE was carried out for CuRh2Br after structural relaxation.

Cell and atoms, written as extended XYZ:
```
4
Lattice="1.501 0.866 8.177 -1.501 0.866 8.177 0.000 -1.733 8.177" Properties=species:S:1:pos:R:3 pbc="T T T"
Cu 0.000 0.000 0.000
Rh 0.000 0.000 6.202
Rh 0.000 0.000 12.383
Br 0.000 0.000 18.463
```

Summary:
* total magnetic moment: 0.82 Bohr magnetons per cell
* energy relative to the elements, uncorrected: 439 meV/atom
* ρ: 9.1 g cm⁻³
* space-group type: R3m, No. 160
* raw total energy: -4.68 eV/atom

[4]
A plane-wave DFT calculation with PBE was carried out for Li2BiPd3 after structural relaxation.

Cell and atoms, written as extended XYZ:
```
6
Lattice="4.474 0.000 0.000 -2.237 3.875 0.000 0.000 0.000 5.566" Properties=species:S:1:pos:R:3 pbc="T T T"
Li 0.000 2.583 0.963
Li 2.237 1.292 4.603
Bi 0.000 0.000 2.783
Pd 0.000 0.000 0.000
Pd 0.000 2.583 3.948
Pd 2.237 1.292 1.617
```

Summary:
* total magnetic moment: 0.00 Bohr magnetons per cell
* E_form: -0.44 eV/atom
* ρ: 9.3 g cm⁻³
* space-group type: P-3m1, No. 164
* raw total energy: -4.32 eV/atom

Repeat the third record exactly.
A plane-wave DFT calculation with PBE was carried out for CuRh2Br after structural relaxation.

Cell and atoms, written as extended XYZ:
```
4
Lattice="1.501 0.866 8.177 -1.501 0.866 8.177 0.000 -1.733 8.177" Properties=species:S:1:pos:R:3 pbc="T T T"
Cu 0.000 0.000 0.000
Rh 0.000 0.000 6.202
Rh 0.000 0.000 12.383
Br 0.000 0.000 18.463
```

Summary:
* total magnetic moment: 0.82 Bohr magnetons per cell
* energy relative to the elements, uncorrected: 439 meV/atom
* ρ: 9.1 g cm⁻³
* space-group type: R3m, No. 160
* raw total energy: -4.68 eV/atom